# 1
LaCuSb, relaxed, DFT PBE; formation energy (no corrections) = -0.1705 eV per atom
1.0
-1.375 -4.542 1.875
0.944 -4.251 -2.661
3.562 -3.280 1.611
La Cu Sb
1 1 1
direct
0.750 0.750 0.750
0.500 0.500 0.500
0.000 0.000 0.000

=====

# 2
Li3Ac2MgAu4, relaxed, DFT PBE; ΔE_f = -0.61 eV/atom
1.0
4.518 0.000 0.000
0.000 4.518 0.000
0.000 0.000 11.052
Au Li Mg Ac
4 3 1 2
direct
0.000 0.000 0.000
0.500 0.000 0.651
0.000 0.500 0.349
0.500 0.500 0.000
0.000 0.000 0.500
0.000 0.500 0.111
0.500 0.000 0.889
0.500 0.500 0.500
0.000 0.500 0.767
0.500 0.000 0.233

=====

# 3
Ca2Se2Br, relaxed, DFT PBE; formation energy (no corrections) = -1.5650 eV per atom
1.0
-4.828 -3.815 -5.193
3.829 -6.917 1.522
-2.611 -0.784 3.004
Se Ca Br
4 4 2
direct
0.625 0.875 0.500
0.875 0.375 0.500
0.375 0.125 0.500
0.125 0.625 0.500
0.169 0.331 0.000
0.331 0.831 0.000
0.669 0.169 0.000
0.831 0.669 0.000
0.000 0.000 0.000
0.500 0.500 0.000

=====

In eV per cell, the VASP energy values for the records above are, in order, -13.7 -34.8 -40.9.